This record from Alexandria describes a geometry-optimized Al5Ag2 structure. The functional is GGA-PBE.

Properties
The density of states at the Fermi level comes out at 0.288 states/eV per atom. As for the total magnetization: 0.0 μB/f.u. For the total energy, the calculation gives -3.485 eV per atom. The excess energy over the best structure of this formula in the dataset comes out at 29 meV/atom. The energy relative to the elements is 0.00 eV/atom.

Cell lengths 14.069, 2.905, 2.905 Å; angles 90.00, 84.07, 84.07 degrees
Fractional coordinates of all 7 atoms:
Ag: 0.998 0.001 0.001
Ag: 0.288 0.856 0.856
Al: 0.143 0.429 0.429
Al: 0.433 0.283 0.283
Al: 0.574 0.713 0.713
Al: 0.712 0.144 0.144
Al: 0.853 0.574 0.574